[1]
Density functional theory data (GGA-PBE) for a relaxed structure of Ca3AcIn2.

Calculated values
**Space group**: Pmc2_1 (26)
**Calculated formation energy**: -2.2 eV/f.u.
**Spin magnetization**: 0.000 Bohr magnetons per cell
**D(E_F)**: 10.788 states/eV/cell
**Volume**: 34.25 Å³/atom

a = 5.3555 Å, b = 10.0344 Å, c = 7.6490 Å
α = 90.00°, β = 90.00°, γ = 90.00°
Fractional positions:
1 Ca 0.0000 0.0603 0.0000
2 Ca 0.0000 0.3053 0.3625
3 Ca 0.0000 0.6947 0.8625
4 Ca 0.0000 0.9397 0.5000
5 Ca 0.5000 0.1760 0.6937
6 Ca 0.5000 0.8240 0.1937
7 Ac 0.5000 0.4477 0.0575
8 Ac 0.5000 0.5523 0.5575
9 In 0.0000 0.3636 0.7911
10 In 0.0000 0.6364 0.2911
11 In 0.5000 0.1373 0.2620
12 In 0.5000 0.8627 0.7620

[2]
Density functional theory data (GGA-PBE) for a relaxed structure of CaAc5In4.

Calculated values
**Space group**: P4/mmm (123)
**Calculated formation energy**: -3.2 eV/f.u.
**Spin magnetization**: 0.014 Bohr magnetons per cell
**D(E_F)**: 10.385 states/eV/cell
**Volume**: 36.51 Å³/atom

a = 4.1007 Å, b = 4.1007 Å, c = 21.7126 Å
α = 90.00°, β = 90.00°, γ = 90.00°
Fractional positions:
1 Ca 0.0000 0.0000 0.0000
2 Ac 0.5000 0.5000 0.1232
3 Ac 0.5000 0.5000 0.3100
4 Ac 0.5000 0.5000 0.5000
5 Ac 0.5000 0.5000 0.6900
6 Ac 0.5000 0.5000 0.8768
7 In 0.0000 0.0000 0.2136
8 In 0.0000 0.0000 0.4054
9 In 0.0000 0.0000 0.5946
10 In 0.0000 0.0000 0.7864